Entry 1:
A relaxed structure of ThNbC2. Source: the Alexandria database, functional GGA-PBE.

Properties
E_form (eV per atom): -0.414

a = 6.007 Å, b = 3.537 Å, c = 11.400 Å
α = 90.00°, β = 90.00°, γ = 90.00°
Fractional coordinates of all 16 atoms:
Th1 0.083 0.250 0.141
Th2 0.417 0.750 0.641
Th3 0.583 0.250 0.359
Th4 0.917 0.750 0.859
Nb1 0.085 0.750 0.394
Nb2 0.415 0.250 0.894
Nb3 0.585 0.750 0.106
Nb4 0.915 0.250 0.606
C1 0.166 0.250 0.753
C2 0.220 0.250 0.484
C3 0.280 0.750 0.984
C4 0.334 0.750 0.253
C5 0.666 0.250 0.747
C6 0.720 0.250 0.016
C7 0.780 0.750 0.516
C8 0.834 0.750 0.247



Entry 2:
A relaxed structure of TmThNbC3. Source: the Alexandria database, functional GGA-PBE.

Properties
E_form (eV per atom): -0.327

a = 5.896 Å, b = 3.588 Å, c = 8.914 Å
α = 90.00°, β = 101.99°, γ = 90.00°
Fractional coordinates of all 12 atoms:
Tm1 0.233 0.250 0.450
Tm2 0.767 0.750 0.550
Th1 0.354 0.750 0.807
Th2 0.646 0.250 0.193
Nb1 0.133 0.750 0.137
Nb2 0.867 0.250 0.863
C1 0.045 0.250 0.675
C2 0.226 0.250 0.024
C3 0.437 0.750 0.321
C4 0.563 0.250 0.679
C5 0.774 0.750 0.976
C6 0.955 0.750 0.325



Entry 3:
A relaxed structure of ThZrNbC3. Source: the Alexandria database, functional GGA-PBE.

Properties
E_form (eV per atom): -0.448

a = 5.844 Å, b = 3.483 Å, c = 8.783 Å
α = 90.00°, β = 102.45°, γ = 90.00°
Fractional coordinates of all 12 atoms:
Th1 0.147 0.250 0.194
Th2 0.853 0.750 0.806
Zr1 0.267 0.750 0.545
Zr2 0.733 0.250 0.455
Nb1 0.370 0.250 0.861
Nb2 0.630 0.750 0.139
C1 0.065 0.250 0.664
C2 0.269 0.750 0.981
C3 0.463 0.750 0.340
C4 0.537 0.250 0.660
C5 0.731 0.250 0.019
C6 0.935 0.750 0.336



> E_form of number 1 (ThNbC2)?

-0.414 eV per atom



Repeat the third record exactly.
A relaxed structure of ThZrNbC3. Source: the Alexandria database, functional GGA-PBE.

Properties
E_form (eV per atom): -0.448

a = 5.844 Å, b = 3.483 Å, c = 8.783 Å
α = 90.00°, β = 102.45°, γ = 90.00°
Fractional coordinates of all 12 atoms:
Th1 0.147 0.250 0.194
Th2 0.853 0.750 0.806
Zr1 0.267 0.750 0.545
Zr2 0.733 0.250 0.455
Nb1 0.370 0.250 0.861
Nb2 0.630 0.750 0.139
C1 0.065 0.250 0.664
C2 0.269 0.750 0.981
C3 0.463 0.750 0.340
C4 0.537 0.250 0.660
C5 0.731 0.250 0.019
C6 0.935 0.750 0.336



> E_form of number 3 (ThZrNbC3)?

-0.448 eV per atom



Repeat the second record exactly.
A relaxed structure of TmThNbC3. Source: the Alexandria database, functional GGA-PBE.

Properties
E_form (eV per atom): -0.327

a = 5.896 Å, b = 3.588 Å, c = 8.914 Å
α = 90.00°, β = 101.99°, γ = 90.00°
Fractional coordinates of all 12 atoms:
Tm1 0.233 0.250 0.450
Tm2 0.767 0.750 0.550
Th1 0.354 0.750 0.807
Th2 0.646 0.250 0.193
Nb1 0.133 0.750 0.137
Nb2 0.867 0.250 0.863
C1 0.045 0.250 0.675
C2 0.226 0.250 0.024
C3 0.437 0.750 0.321
C4 0.563 0.250 0.679
C5 0.774 0.750 0.976
C6 0.955 0.750 0.325